# Y2Ga5Ni3 PBE optimized geometry
data_Y2Ga5Ni3
_cell_length_a 4.1904
_cell_length_b 24.2370
_cell_length_c 6.5651
_cell_angle_alpha 90.00
_cell_angle_beta 90.00
_cell_angle_gamma 90.00
_space_group_name_H-M_alt 'C m c 21'
_space_group_IT_number 36
loop_
_space_group_symop_operation_xyz
'x,y,z'
'-x,-y,z+1/2'
'-x,y,z'
'x,-y,z+1/2'
'x+1/2,y+1/2,z'
'-x+1/2,-y+1/2,z+1/2'
'-x+1/2,y+1/2,z'
'x+1/2,-y+1/2,z+1/2'
loop_
_atom_site_label
_atom_site_fract_x
_atom_site_fract_y
_atom_site_fract_z
Y1 0.0000 0.0189 0.0000
Y2 0.0000 0.3259 0.9686
Ga1 0.0000 0.1002 0.6528
Ga2 0.0000 0.2061 0.1618
Ga3 0.0000 0.2111 0.7605
Ga4 0.0000 0.3748 0.4914
Ga5 0.0000 0.4473 0.8192
Ni1 0.0000 0.1072 0.2669
Ni2 0.0000 0.2738 0.4586
Ni3 0.0000 0.4492 0.2134
# DOS(E_F): 22.97 states/eV/cell
# Energy of formation from the pure elements: -0.57 eV/atom
# ΔE to the lowest computed polymorph: 0.0454 eV/atom
# Total magnetic moment: 0.0 μB per cell